Entry A
Below is a geometry-optimized DyHoCd6 structure, with properties calculated at the PBE-GGA level.

Crystal system: tetragonal

abc: 5.050 5.050 7.141
angles: 90.00 90.00 90.00
Fractional coordinates of all 8 atoms:
Dy: 0.000 0.000 0.000
Ho: 0.500 0.500 0.500
Cd: 0.000 0.000 0.500
Cd: 0.000 0.500 0.251
Cd: 0.000 0.500 0.749
Cd: 0.500 0.000 0.251
Cd: 0.500 0.000 0.749
Cd: 0.500 0.500 0.000

Entry B
Below is a geometry-optimized DyHoCd6 structure, with properties calculated at the PBE-GGA level.

Crystal system: orthorhombic

abc: 4.835 6.433 6.433
angles: 67.47 90.00 90.00
Fractional coordinates of all 8 atoms:
Dy: 0.000 0.000 0.000
Ho: 0.500 0.266 0.266
Cd: 0.000 0.456 0.456
Cd: 0.000 0.514 0.944
Cd: 0.000 0.944 0.514
Cd: 0.500 0.322 0.752
Cd: 0.500 0.752 0.322
Cd: 0.500 0.809 0.809

entry B is the most stable structure; the next one sits 1.2 kJ/mol of atoms above it.

Entry A
Below is a geometry-optimized LiDyCdSe3 structure, with properties calculated at the PBE-GGA level.

Crystal system: orthorhombic

abc: 6.899 6.899 11.123
angles: 90.00 90.00 145.56
Fractional coordinates of all 12 atoms:
Li: 0.233 0.767 0.750
Li: 0.767 0.233 0.250
Dy: 0.000 0.000 0.000
Dy: 0.000 0.000 0.500
Cd: 0.477 0.523 0.250
Cd: 0.523 0.477 0.750
Se: 0.105 0.895 0.250
Se: 0.357 0.643 0.064
Se: 0.357 0.643 0.436
Se: 0.643 0.357 0.564
Se: 0.643 0.357 0.936
Se: 0.895 0.105 0.750

Entry B
Below is a geometry-optimized LiDyCdSe3 structure, with properties calculated at the PBE-GGA level.

Crystal system: orthorhombic

abc: 11.385 4.075 12.075
angles: 90.00 90.00 90.00
Fractional coordinates of all 24 atoms:
Li: 0.123 0.250 0.074
Li: 0.377 0.750 0.574
Li: 0.623 0.250 0.426
Li: 0.877 0.750 0.926
Dy: 0.125 0.250 0.753
Dy: 0.375 0.750 0.253
Dy: 0.625 0.250 0.747
Dy: 0.875 0.750 0.247
Cd: 0.126 0.250 0.404
Cd: 0.374 0.750 0.904
Cd: 0.626 0.250 0.096
Cd: 0.874 0.750 0.596
Se: 0.121 0.750 0.583
Se: 0.126 0.750 0.238
Se: 0.128 0.750 0.918
Se: 0.372 0.250 0.418
Se: 0.374 0.250 0.738
Se: 0.379 0.250 0.083
Se: 0.621 0.750 0.917
Se: 0.626 0.750 0.262
Se: 0.628 0.750 0.582
Se: 0.872 0.250 0.082
Se: 0.874 0.250 0.762
Se: 0.879 0.250 0.417

entry B is the most stable structure; the next one sits 9.4 kJ/mol of atoms above it.

Entry A
Below is a geometry-optimized DyMg2Cd structure, with properties calculated at the PBE-GGA level.

Crystal system: orthorhombic

abc: 4.151 4.799 4.799
angles: 90.00 90.00 90.00
Fractional coordinates of all 4 atoms:
Dy: 0.000 0.000 0.000
Mg: 0.500 0.000 0.501
Mg: 0.500 0.500 0.996
Cd: 0.000 0.500 0.496

Entry B
Below is a geometry-optimized DyMg2Cd structure, with properties calculated at the PBE-GGA level.

Crystal system: tetragonal

abc: 5.095 5.095 5.095
angles: 119.74 119.74 90.46
Fractional coordinates of all 4 atoms:
Dy: 0.000 0.000 0.000
Mg: 0.500 0.500 0.000
Mg: 0.750 0.250 0.500
Cd: 0.250 0.750 0.500

entry B is the most stable structure; the next one sits 7.4 kJ/mol of atoms above it.

Entry A
Below is a geometry-optimized Dy2Cd2O5 structure, with properties calculated at the PBE-GGA level.

Crystal system: tetragonal

abc: 4.106 4.106 8.513
angles: 90.00 90.00 90.00
Fractional coordinates of all 9 atoms:
Dy: 0.000 0.000 0.243
Dy: 0.000 0.000 0.757
Cd: 0.500 0.500 0.000
Cd: 0.500 0.500 0.500
O: 0.000 0.000 0.500
O: 0.000 0.500 0.165
O: 0.000 0.500 0.835
O: 0.500 0.000 0.165
O: 0.500 0.000 0.835

Entry B
Below is a geometry-optimized Dy2Cd2O5 structure, with properties calculated at the PBE-GGA level.

Crystal system: tetragonal

abc: 4.195 4.195 7.224
angles: 90.00 90.00 90.00
Fractional coordinates of all 9 atoms:
Dy: 0.000 0.000 0.000
Dy: 0.000 0.000 0.500
Cd: 0.500 0.500 0.204
Cd: 0.500 0.500 0.796
O: 0.000 0.500 0.196
O: 0.000 0.500 0.804
O: 0.500 0.000 0.196
O: 0.500 0.000 0.804
O: 0.500 0.500 0.500

entry A is the most stable structure; the next one sits 29.8 kJ/mol of atoms above it.

Entry A
Below is a geometry-optimized PrDyCd6 structure, with properties calculated at the PBE-GGA level.

Crystal system: orthorhombic

abc: 5.126 7.281 5.126
angles: 90.00 90.00 90.00
Fractional coordinates of all 8 atoms:
Pr: 0.000 0.000 0.000
Dy: 0.500 0.500 0.493
Cd: 0.000 0.258 0.501
Cd: 0.000 0.500 0.000
Cd: 0.000 0.742 0.501
Cd: 0.500 0.000 0.495
Cd: 0.500 0.258 0.993
Cd: 0.500 0.742 0.993

Entry B
Below is a geometry-optimized PrDyCd6 structure, with properties calculated at the PBE-GGA level.

Crystal system: orthorhombic

abc: 4.865 6.506 6.506
angles: 67.05 90.00 90.00
Fractional coordinates of all 8 atoms:
Pr: 0.000 0.000 0.000
Dy: 0.500 0.727 0.727
Cd: 0.000 0.054 0.485
Cd: 0.000 0.485 0.054
Cd: 0.000 0.540 0.540
Cd: 0.500 0.195 0.195
Cd: 0.500 0.245 0.668
Cd: 0.500 0.668 0.245

entry A is the most stable structure; the next one sits 1.0 kJ/mol of atoms above it.

Entry A
Below is a geometry-optimized DyTlCdS3 structure, with properties calculated at the PBE-GGA level.

Crystal system: orthorhombic

abc: 12.092 4.098 12.288
angles: 90.00 90.00 90.00
Fractional coordinates of all 24 atoms:
Dy: 0.034 0.250 0.159
Dy: 0.466 0.750 0.659
Dy: 0.534 0.250 0.341
Dy: 0.966 0.750 0.841
Tl: 0.145 0.250 0.517
Tl: 0.355 0.750 0.017
Tl: 0.645 0.250 0.983
Tl: 0.855 0.750 0.483
Cd: 0.249 0.750 0.303
Cd: 0.251 0.250 0.803
Cd: 0.749 0.750 0.197
Cd: 0.751 0.250 0.697
S: 0.038 0.750 0.314
S: 0.092 0.250 0.936
S: 0.241 0.750 0.675
S: 0.259 0.250 0.175
S: 0.408 0.750 0.436
S: 0.462 0.250 0.814
S: 0.538 0.750 0.186
S: 0.592 0.250 0.564
S: 0.741 0.750 0.825
S: 0.759 0.250 0.325
S: 0.908 0.750 0.064
S: 0.962 0.250 0.686

Entry B
Below is a geometry-optimized DyTlCdS3 structure, with properties calculated at the PBE-GGA level.

Crystal system: orthorhombic

abc: 7.421 7.421 10.752
angles: 90.00 90.00 148.05
Fractional coordinates of all 12 atoms:
Dy: 0.000 0.000 0.000
Dy: 0.000 0.000 0.500
Tl: 0.267 0.733 0.750
Tl: 0.733 0.267 0.250
Cd: 0.447 0.553 0.250
Cd: 0.553 0.447 0.750
S: 0.060 0.940 0.250
S: 0.372 0.628 0.042
S: 0.372 0.628 0.458
S: 0.628 0.372 0.542
S: 0.628 0.372 0.958
S: 0.940 0.060 0.750

entry B is the most stable structure; the next one sits 1.9 kJ/mol of atoms above it.

Entry A
Below is a geometry-optimized DyScCd6 structure, with properties calculated at the PBE-GGA level.

Crystal system: orthorhombic

abc: 4.795 6.371 6.371
angles: 67.72 90.00 90.00
Fractional coordinates of all 8 atoms:
Dy: 0.000 0.000 0.000
Sc: 0.500 0.263 0.263
Cd: 0.000 0.449 0.449
Cd: 0.000 0.509 0.948
Cd: 0.000 0.948 0.509
Cd: 0.500 0.319 0.752
Cd: 0.500 0.752 0.319
Cd: 0.500 0.806 0.806

Entry B
Below is a geometry-optimized DyScCd6 structure, with properties calculated at the PBE-GGA level.

Crystal system: tetragonal

abc: 5.003 5.003 7.099
angles: 90.00 90.00 90.00
Fractional coordinates of all 8 atoms:
Dy: 0.000 0.000 0.000
Sc: 0.500 0.500 0.500
Cd: 0.000 0.000 0.500
Cd: 0.000 0.500 0.260
Cd: 0.000 0.500 0.740
Cd: 0.500 0.000 0.260
Cd: 0.500 0.000 0.740
Cd: 0.500 0.500 0.000

entry A is the most stable structure; the next one sits 1.0 kJ/mol of atoms above it.

Entry A
Below is a geometry-optimized DyTmCd6 structure, with properties calculated at the PBE-GGA level.

Crystal system: tetragonal

abc: 5.036 5.036 7.140
angles: 90.00 90.00 90.00
Fractional coordinates of all 8 atoms:
Dy: 0.000 0.000 0.000
Tm: 0.500 0.500 0.500
Cd: 0.000 0.000 0.500
Cd: 0.000 0.500 0.252
Cd: 0.000 0.500 0.748
Cd: 0.500 0.000 0.252
Cd: 0.500 0.000 0.748
Cd: 0.500 0.500 0.000

Entry B
Below is a geometry-optimized DyTmCd6 structure, with properties calculated at the PBE-GGA level.

Crystal system: orthorhombic

abc: 4.819 6.424 6.424
angles: 67.63 90.00 90.00
Fractional coordinates of all 8 atoms:
Dy: 0.000 0.000 0.000
Tm: 0.500 0.264 0.264
Cd: 0.000 0.455 0.455
Cd: 0.000 0.512 0.943
Cd: 0.000 0.943 0.512
Cd: 0.500 0.321 0.751
Cd: 0.500 0.751 0.321
Cd: 0.500 0.808 0.808

entry B is the most stable structure; the next one sits 1.5 kJ/mol of atoms above it.